VASP calculation (PBE) on a geometry-optimized YNbN3 structure.

raw total energy	-44.73	eV/cell
crystal system	cubic
energy relative to the elements, uncorrected	-0.64	eV/atom

abc: 4.050 4.050 4.050
angles: 90.00 90.00 90.00
Space group Pm-3m (No. 221)
Symmetry-distinct sites (fractional):
Y: 0.000 0.000 0.000
Nb: 0.500 0.500 0.500
N: 0.000 0.500 0.500

=====

VASP calculation (PBE) on a geometry-optimized YNb3N structure.

raw total energy	-46.49	eV/cell
relative energy among the computed polymorphs	0	meV/atom
crystal system	cubic
energy relative to the elements, uncorrected	-0.30	eV/atom

abc: 4.428 4.428 4.428
angles: 90.00 90.00 90.00
Space group Pm-3m (No. 221)
Symmetry-distinct sites (fractional):
Y: 0.000 0.000 0.000
Nb: 0.000 0.500 0.500
N: 0.500 0.500 0.500

=====

VASP calculation (PBE) on a geometry-optimized YNb4N6 structure.

raw total energy	-435.51	eV/cell
crystal system	orthorhombic
energy relative to the elements, uncorrected	-1.11	eV/atom

abc: 3.145 10.323 15.775
angles: 90.00 90.00 90.00
Space group Cmcm (No. 63)
Symmetry-distinct sites (fractional):
Y: 0.000 0.154 0.250
Nb: 0.000 0.101 0.631
Nb: 0.000 0.354 0.542
N: 0.000 0.000 0.000
N: 0.000 0.172 0.750
N: 0.000 0.265 0.093
N: 0.000 0.463 0.659

=====

VASP calculation (PBE) on a geometry-optimized Y3NbN4 structure.

raw total energy	-147.61	eV/cell
relative energy among the computed polymorphs	112	meV/atom
crystal system	orthorhombic
energy relative to the elements, uncorrected	-1.38	eV/atom

abc: 4.815 7.895 6.735
angles: 90.00 90.00 90.00
Space group Pmmn (No. 59, origin choice 2)
Symmetry-distinct sites (fractional):
Y: 0.250 0.002 0.172
Y: 0.250 0.250 0.655
Nb: 0.250 0.750 0.674
N: 0.250 0.250 0.326
N: 0.250 0.515 0.816
N: 0.250 0.750 0.369

=====

VASP calculation (PBE) on a geometry-optimized Y3NbN structure.

raw total energy	-39.66	eV/cell
relative energy among the computed polymorphs	0	meV/atom
crystal system	cubic
energy relative to the elements, uncorrected	-0.37	eV/atom

abc: 4.821 4.821 4.821
angles: 90.00 90.00 90.00
Space group Pm-3m (No. 221)
Symmetry-distinct sites (fractional):
Y: 0.000 0.000 0.500
Nb: 0.500 0.500 0.500
N: 0.000 0.000 0.000

=====

VASP calculation (PBE) on a geometry-optimized YNbN3 structure.

raw total energy	-34.95	eV/cell
crystal system	cubic
energy relative to the elements, uncorrected	1.31	eV/atom

abc: 4.175 4.175 4.175
angles: 90.00 90.00 90.00
Space group Pm-3m (No. 221)
Symmetry-distinct sites (fractional):
Y: 0.000 0.000 0.000
Nb: 0.500 0.500 0.500
N: 0.000 0.000 0.500

=====

VASP calculation (PBE) on a geometry-optimized YNb2N4 structure.

raw total energy	-272.24	eV/cell
crystal system	orthorhombic
energy relative to the elements, uncorrected	-1.17	eV/atom

abc: 3.143 10.277 10.414
angles: 90.00 90.00 90.00
Space group Cmcm (No. 63)
Symmetry-distinct sites (fractional):
Y: 0.000 0.116 0.250
Nb: 0.000 0.371 0.068
N: 0.000 0.000 0.000
N: 0.000 0.269 0.614
N: 0.000 0.444 0.250

=====

VASP calculation (PBE) on a geometry-optimized Y2NbN3 structure.

raw total energy	-112.28	eV/cell
crystal system	tetragonal
energy relative to the elements, uncorrected	-1.36	eV/atom

abc: 3.361 3.361 14.189
angles: 90.00 90.00 90.00
Space group I4/mmm (No. 139)
Symmetry-distinct sites (fractional):
Y: 0.000 0.000 0.163
Nb: 0.000 0.000 0.500
N: 0.000 0.000 0.000
N: 0.000 0.000 0.342